[1]
LaAl2Hg | GGA-PBE | optimized geometry

The structure in extended XYZ format:
```
4
Lattice="0.000 3.607 3.607 3.607 0.000 3.607 3.607 3.607 0.000" Properties=species:S:1:pos:R:3 pbc="T T T"
La 0.000 0.000 0.000
Al 1.804 1.804 1.804
Al 3.607 3.607 3.607
Hg 5.411 5.411 5.411
```

Crystal system: cubic
Formation energy, eV per formula unit: -0.78

***

[2]
Dy4CrSe7 | GGA-PBE | optimized geometry

The structure in extended XYZ format:
```
12
Lattice="6.515 -1.986 0.000 6.515 1.986 0.000 -3.358 0.000 11.528" Properties=species:S:1:pos:R:3 pbc="T T T"
Dy 0.000 0.000 0.000
Dy 3.069 0.000 6.761
Dy 6.214 0.000 3.929
Dy 6.429 0.000 9.022
Cr 9.683 0.000 2.319
Se -2.000 0.000 8.358
Se 1.393 0.000 2.850
Se 1.876 0.000 9.608
Se 4.837 0.000 1.514
Se 8.563 0.000 0.037
Se 7.554 0.000 6.440
Se 10.759 0.000 4.749
```

Crystal system: monoclinic
ΔE_f (raw), eV/atom: -1.572

***

Final energy? In order: -3.37 -5.94 eV/atom.